Record 1
The following is a PBE-GGA calculation of a relaxed PmDyTl2Se4 crystal, from Alexandria.

Values from the calculation:
- Symmetry: P2/m
- Crystal system: monoclinic
- Uncorrected formation energy: -1.384 eV/atom

```
data_PmDyTl2Se4
_chemical_formula_sum 'Pm1 Dy1 Tl2 Se4'
_cell_length_a 4.2404
_cell_length_b 7.3469
_cell_length_c 8.1429
_cell_angle_alpha 107.49
_cell_angle_beta 90.00
_cell_angle_gamma 90.00
_symmetry_space_group_name_H-M 'P 1'
_symmetry_Int_Tables_number 1
_symmetry_space_group_name_Hall 'P 1'
loop_
_atom_site_label
_atom_site_type_symbol
_atom_site_fract_x
_atom_site_fract_y
_atom_site_fract_z
Pm1 Pm 0.5000 0.5000 0.0000
Dy1 Dy 0.0000 0.0000 0.0000
Tl1 Tl 0.5000 0.0000 0.5000
Tl2 Tl 0.0000 0.5000 0.5000
Se1 Se 0.5000 0.2294 0.2054
Se2 Se 0.5000 0.7706 0.7946
Se3 Se 0.0000 0.2581 0.7919
Se4 Se 0.0000 0.7419 0.2081
```

Record 2
The following is a PBE-GGA calculation of a relaxed Pm2DyTl3Se6 crystal, from Alexandria.

Values from the calculation:
- Symmetry: C2/m
- Crystal system: monoclinic
- Uncorrected formation energy: -1.385 eV/atom

```
data_Pm2DyTl3Se6
_chemical_formula_sum 'Pm2 Dy1 Tl3 Se6'
_cell_length_a 7.3765
_cell_length_b 7.3765
_cell_length_c 8.1458
_cell_angle_alpha 98.68
_cell_angle_beta 98.68
_cell_angle_gamma 120.00
_symmetry_space_group_name_H-M 'P 1'
_symmetry_Int_Tables_number 1
_symmetry_space_group_name_Hall 'P 1'
loop_
_atom_site_label
_atom_site_type_symbol
_atom_site_fract_x
_atom_site_fract_y
_atom_site_fract_z
Pm1 Pm 0.3334 0.6666 0.0000
Pm2 Pm 0.6666 0.3334 0.0000
Dy1 Dy 0.0000 0.0000 0.0000
Tl1 Tl 0.1680 0.8320 0.5000
Tl2 Tl 0.8320 0.1680 0.5000
Tl3 Tl 0.5000 0.5000 0.5000
Se1 Se 0.9309 0.6041 0.7928
Se2 Se 0.7428 0.7428 0.2087
Se3 Se 0.0691 0.3959 0.2072
Se4 Se 0.6041 0.9309 0.7928
Se5 Se 0.2572 0.2572 0.7913
Se6 Se 0.3959 0.0691 0.2072
```

Record 3
The following is a PBE-GGA calculation of a relaxed Pm3DyTl4Se8 crystal, from Alexandria.

Values from the calculation:
- Symmetry: R-3m
- Crystal system: trigonal
- Uncorrected formation energy: -1.384 eV/atom

```
data_Pm3DyTl4Se8
_chemical_formula_sum 'Pm3 Dy1 Tl4 Se8'
_cell_length_a 8.5369
_cell_length_b 9.1966
_cell_length_c 8.5371
_cell_angle_alpha 117.68
_cell_angle_beta 120.00
_cell_angle_gamma 90.00
_symmetry_space_group_name_H-M 'P 1'
_symmetry_Int_Tables_number 1
_symmetry_space_group_name_Hall 'P 1'
loop_
_atom_site_label
_atom_site_type_symbol
_atom_site_fract_x
_atom_site_fract_y
_atom_site_fract_z
Pm1 Pm 0.5000 0.5000 0.0000
Pm2 Pm 0.5000 0.5000 0.5000
Pm3 Pm 0.0000 0.5000 0.5000
Dy1 Dy 0.0000 0.5000 0.0000
Tl1 Tl 0.5000 0.0000 0.0000
Tl2 Tl 0.5000 0.0000 0.5000
Tl3 Tl 0.0000 0.0000 0.0000
Tl4 Tl 0.0000 0.0000 0.5000
Se1 Se 0.2329 0.7074 0.9747
Se2 Se 0.2330 0.7074 0.4660
Se3 Se 0.2632 0.2897 0.5264
Se4 Se 0.7417 0.7074 0.9747
Se5 Se 0.2583 0.2926 0.0253
Se6 Se 0.7368 0.7103 0.4736
Se7 Se 0.7670 0.2926 0.5340
Se8 Se 0.7671 0.2926 0.0253
```

Record 4
The following is a PBE-GGA calculation of a relaxed Pm3DyTl3Se8 crystal, from Alexandria.

Values from the calculation:
- Symmetry: R-3m
- DOS(E_F): 7.24 states/eV/cell
- Crystal system: trigonal
- Uncorrected formation energy: -1.384 eV/atom

```
data_Pm3DyTl3Se8
_chemical_formula_sum 'Pm3 Dy1 Tl3 Se8'
_cell_length_a 8.5128
_cell_length_b 8.5138
_cell_length_c 9.0641
_cell_angle_alpha 118.01
_cell_angle_beta 90.01
_cell_angle_gamma 120.01
_symmetry_space_group_name_H-M 'P 1'
_symmetry_Int_Tables_number 1
_symmetry_space_group_name_Hall 'P 1'
loop_
_atom_site_label
_atom_site_type_symbol
_atom_site_fract_x
_atom_site_fract_y
_atom_site_fract_z
Pm1 Pm 0.5000 0.0000 0.5000
Pm2 Pm 0.5000 0.5000 0.5000
Pm3 Pm 0.0000 0.5000 0.5000
Dy1 Dy 0.0000 0.0000 0.5000
Tl1 Tl 0.0000 0.0000 0.0000
Tl2 Tl 0.0000 0.5000 0.0000
Tl3 Tl 0.5000 0.5000 0.0000
Se1 Se 0.2618 0.5238 0.2859
Se2 Se 0.7382 0.4762 0.7141
Se3 Se 0.7668 0.5338 0.2907
Se4 Se 0.2332 0.4662 0.7093
Se5 Se 0.7669 0.0237 0.2908
Se6 Se 0.2331 0.9763 0.7092
Se7 Se 0.2567 0.0238 0.2909
Se8 Se 0.7433 0.9762 0.7091
```

Copy entry 2 word for word.
The following is a PBE-GGA calculation of a relaxed Pm2DyTl3Se6 crystal, from Alexandria.

Values from the calculation:
- Symmetry: C2/m
- Crystal system: monoclinic
- Uncorrected formation energy: -1.385 eV/atom

```
data_Pm2DyTl3Se6
_chemical_formula_sum 'Pm2 Dy1 Tl3 Se6'
_cell_length_a 7.3765
_cell_length_b 7.3765
_cell_length_c 8.1458
_cell_angle_alpha 98.68
_cell_angle_beta 98.68
_cell_angle_gamma 120.00
_symmetry_space_group_name_H-M 'P 1'
_symmetry_Int_Tables_number 1
_symmetry_space_group_name_Hall 'P 1'
loop_
_atom_site_label
_atom_site_type_symbol
_atom_site_fract_x
_atom_site_fract_y
_atom_site_fract_z
Pm1 Pm 0.3334 0.6666 0.0000
Pm2 Pm 0.6666 0.3334 0.0000
Dy1 Dy 0.0000 0.0000 0.0000
Tl1 Tl 0.1680 0.8320 0.5000
Tl2 Tl 0.8320 0.1680 0.5000
Tl3 Tl 0.5000 0.5000 0.5000
Se1 Se 0.9309 0.6041 0.7928
Se2 Se 0.7428 0.7428 0.2087
Se3 Se 0.0691 0.3959 0.2072
Se4 Se 0.6041 0.9309 0.7928
Se5 Se 0.2572 0.2572 0.7913
Se6 Se 0.3959 0.0691 0.2072
```

Which of these has the lowest uncorrected formation energy? Pm2DyTl3Se6

What is the uncorrected formation energy in the first record? -1.384 eV/atom